A relaxed structure of Pm2PrPd, computed with PBE-GGA.

Cell and atoms, written as extended XYZ:
```
16
Lattice="7.2563 0.0000 0.0000 0.0000 10.0712 0.0000 0.0000 0.0000 6.6368" Properties=species:S:1:pos:R:3 pbc="T T T"
Pm 1.3058 0.6069 1.1189
Pm 1.3058 4.4287 1.1189
Pm 2.3223 5.6425 4.4373
Pm 2.3223 9.4643 4.4373
Pm 4.9340 0.6069 2.1995
Pm 4.9340 4.4287 2.1995
Pm 5.9505 5.6425 5.5179
Pm 5.9505 9.4643 5.5179
Pr 0.1724 2.5178 4.2460
Pr 3.4558 7.5534 0.9276
Pr 3.8005 2.5178 5.7092
Pr 7.0839 7.5534 2.3908
Pd 0.8300 7.5534 6.1276
Pd 2.7981 2.5178 2.8092
Pd 4.4581 7.5534 3.8276
Pd 6.4263 2.5178 0.5092
```

* energy above the lowest structure with this stoichiometry: 0.0 meV per atom

=====

A relaxed structure of PrNd2Y2Tm, computed with PBE-GGA.

Cell and atoms, written as extended XYZ:
```
12
Lattice="6.1461 0.0000 0.0000 0.0000 18.4865 0.0000 0.0000 0.0000 3.5932" Properties=species:S:1:pos:R:3 pbc="T T T"
Pr 0.0000 0.0000 0.0000
Pr 3.0731 9.2433 1.7966
Nd 0.9885 6.3874 1.7966
Nd 2.0846 15.6307 0.0000
Nd 4.0616 2.8558 0.0000
Nd 5.1576 12.0991 1.7966
Y 0.9804 2.9369 1.7966
Y 2.0927 12.1802 0.0000
Y 4.0534 6.3063 0.0000
Y 5.1657 15.5496 1.7966
Tm 0.0000 9.2433 0.0000
Tm 3.0731 0.0000 1.7966
```

* E_tot: -5.1858 eV/atom

=====

A relaxed structure of Ac2Pu3Rh4, computed with PBE-GGA.

Cell and atoms, written as extended XYZ:
```
18
Lattice="3.1586 -8.2912 0.0000 3.1586 8.2912 0.0000 0.0000 0.0000 8.1748" Properties=species:S:1:pos:R:3 pbc="T T T"
Ac 3.1586 6.5120 7.4119
Ac 3.1586 1.7792 3.3246
Ac 3.1586 -1.7792 4.8502
Ac 3.1586 -6.5120 0.7628
Pu 0.0000 0.0000 4.0874
Pu 1.5793 3.5354 6.1311
Pu 1.5793 -3.5354 2.0437
Pu 3.1586 0.0000 0.0000
Pu 4.7380 3.5354 6.1311
Pu 4.7380 -3.5354 2.0437
Rh 3.1586 5.3663 4.4354
Rh 1.5793 0.8019 6.1311
Rh 1.5793 -0.8019 2.0437
Rh 3.1586 2.9249 0.3480
Rh 3.1586 -2.9249 7.8268
Rh 4.7380 0.8019 6.1311
Rh 4.7380 -0.8019 2.0437
Rh 3.1586 -5.3663 3.7394
```

* E_tot: -9.4238 eV/atom

=====

A relaxed structure of Ac12Nd6Sm, computed with PBE-GGA.

Cell and atoms, written as extended XYZ:
```
19
Lattice="8.4470 4.8769 3.1791 -8.4470 4.8769 3.1791 0.0000 -9.7537 3.1791" Properties=species:S:1:pos:R:3 pbc="T T T"
Ac -4.3744 -0.5054 3.2566
Ac -0.4499 -5.9405 3.1633
Ac -4.9197 3.3599 3.1633
Ac -5.3696 -2.5806 6.3742
Ac 2.6249 -3.5357 3.2566
Ac -1.7495 -4.0411 6.2808
Ac 1.7495 4.0411 3.2566
Ac -2.6249 3.5357 6.2808
Ac 5.3696 2.5806 3.1633
Ac 4.9197 -3.3599 6.3742
Ac 0.4499 5.9405 6.3742
Ac 4.3744 0.5054 6.2808
Nd -0.8615 -1.9672 3.1856
Nd -1.2728 1.7297 3.1856
Nd 2.1344 0.2375 3.1856
Nd -2.1344 -0.2375 6.3518
Nd 1.2729 -1.7297 6.3518
Nd 0.8615 1.9672 6.3518
Sm 0.0000 0.0000 0.0000
```

* E_tot: -4.3119 eV/atom

=====

A relaxed structure of KTb2Ho3Te6, computed with PBE-GGA.

Cell and atoms, written as extended XYZ:
```
12
Lattice="9.6701 -2.1816 0.0000 9.6701 2.1816 0.0000 -2.1889 0.0000 8.7171" Properties=species:S:1:pos:R:3 pbc="T T T"
K 0.0000 0.0000 0.0000
Tb 4.9325 0.0000 5.6917
Tb 12.2187 0.0000 3.0254
Ho -1.0945 0.0000 4.3585
Ho 6.1544 0.0000 1.5576
Ho 10.9969 0.0000 7.1595
Te 1.8943 0.0000 5.1077
Te 3.1934 0.0000 0.7414
Te 8.0048 0.0000 6.3901
Te 9.1465 0.0000 2.3270
Te 13.9578 0.0000 7.9757
Te 15.2569 0.0000 3.6094
```

* formation energy (no corrections): -1.287 eV per atom

=====

A relaxed structure of Er6SnOs2, computed with PBE-GGA.

Cell and atoms, written as extended XYZ:
```
18
Lattice="-4.6840 4.7256 5.1891 4.6840 -4.7256 5.1891 4.6840 4.7256 -5.1891" Properties=species:S:1:pos:R:3 pbc="T T T"
Er 4.6840 2.7414 -2.6743
Er 2.6506 1.7384 0.0000
Er 6.7174 1.7384 0.0000
Er 1.7532 4.7256 -1.7375
Er 2.9308 0.0000 3.4516
Er 0.0000 1.9842 2.5148
Er 4.6840 2.7414 2.6743
Er 1.7532 4.7256 1.7375
Er 2.9308 0.0000 6.9267
Er -2.0334 2.9871 5.1891
Er 2.0334 2.9871 5.1891
Er 0.0000 1.9842 7.8634
Sn 0.0000 0.0000 0.0000
Sn 0.0000 0.0000 5.1891
Os 4.6840 0.0000 1.2766
Os 0.0000 3.1174 0.0000
Os 0.0000 6.3338 0.0000
Os 0.0000 4.7256 3.9125
```

* E_tot: -6.3869 eV/atom

=====

A relaxed structure of NaU3Se6, computed with PBE-GGA.

Cell and atoms, written as extended XYZ:
```
20
Lattice="11.6177 0.0000 0.0000 0.0000 4.2024 0.0000 -3.8123 0.0000 11.4719" Properties=species:S:1:pos:R:3 pbc="T T T"
Na 0.2632 1.0506 1.9904
Na 7.5422 3.1518 9.4815
U -0.3438 1.0506 6.5068
U -0.2189 3.1518 11.3613
U 4.3863 1.0506 3.7483
U 3.4191 3.1518 7.7236
U 8.0243 1.0506 0.1106
U 8.1492 3.1518 4.9651
Se -0.6558 3.1518 4.5844
Se -2.0434 1.0506 10.7811
Se 0.2915 3.1518 8.3060
Se 2.6934 3.1518 2.6766
Se 2.4383 1.0506 5.9364
Se 5.1314 1.0506 1.0316
Se 2.6740 3.1518 10.4403
Se 5.3671 3.1518 5.5355
Se 5.1121 1.0506 8.7953
Se 7.5139 1.0506 3.1659
Se 9.8489 3.1518 0.6908
Se 8.4613 1.0506 6.8875
```

* formation energy (no corrections): -1.132 eV per atom
* energy above the lowest structure with this stoichiometry: 10.9 meV per atom

=====

A relaxed structure of AgSbCl, computed with PBE-GGA.

Cell and atoms, written as extended XYZ:
```
3
Lattice="-1.6572 1.6572 6.2765 1.6572 -1.6572 6.2765 1.6572 1.6572 -6.2765" Properties=species:S:1:pos:R:3 pbc="T T T"
Ag 0.0000 0.0000 0.0000
Sb 0.0000 0.0000 4.3228
Cl 0.0000 0.0000 7.9462
```

* formation energy (no corrections): -0.058 eV per atom
* energy above the lowest structure with this stoichiometry: 181.6 meV per atom

=====

A relaxed structure of CaPr7Er3, computed with PBE-GGA.

Cell and atoms, written as extended XYZ:
```
11
Lattice="5.9312 -5.1659 0.0000 5.9312 5.1659 0.0000 -0.6086 0.0000 6.5663" Properties=species:S:1:pos:R:3 pbc="T T T"
Ca 0.0000 0.0000 0.0000
Pr -0.3043 0.0000 3.2832
Pr 2.5064 1.7931 4.9585
Pr 2.9879 0.0000 1.9063
Pr 2.5064 -1.7931 4.9585
Pr 8.7475 1.7931 1.6078
Pr 8.2659 0.0000 4.6600
Pr 8.7475 -1.7931 1.6078
Er 5.6269 1.7068 3.2832
Er 5.9312 0.0000 0.0000
Er 5.6269 -1.7068 3.2832
```

* E_tot: -4.2397 eV/atom

=====

A relaxed structure of Rb2SnSbSe5, computed with PBE-GGA.

Cell and atoms, written as extended XYZ:
```
18
Lattice="2.0109 -10.7970 0.0000 2.0109 10.7970 0.0000 0.0000 0.0000 14.5373" Properties=species:S:1:pos:R:3 pbc="T T T"
Rb 2.0109 8.2744 7.2686
Rb 2.0109 8.1259 1.9056
Rb 2.0109 -8.1259 9.1742
Rb 2.0109 -8.2744 0.0000
Sn 2.0109 1.4054 3.8029
Sn 2.0109 -1.4054 11.0716
Sb 2.0109 5.9982 12.5009
Sb 2.0109 -5.9982 5.2323
Se 2.0109 9.8417 12.7008
Se 2.0109 4.7891 7.1174
Se 2.0109 3.9291 3.1894
Se 2.0109 3.5497 11.8689
Se 2.0109 0.1582 1.6538
Se 2.0109 -0.1582 8.9224
Se 2.0109 -3.5497 4.6002
Se 2.0109 -3.9291 10.4580
Se 2.0109 -4.7891 14.3860
Se 2.0109 -9.8417 5.4322
```

* formation energy (no corrections): -0.616 eV per atom

=====

A relaxed structure of Ca2CuRu, computed with PBE-GGA.

Cell and atoms, written as extended XYZ:
```
4
Lattice="3.4118 0.0000 0.0000 0.0000 3.4118 0.0000 0.0000 0.0000 8.1058" Properties=species:S:1:pos:R:3 pbc="T T T"
Ca 0.0000 0.0000 0.0000
Ca 1.7059 1.7059 3.3974
Cu 0.0000 0.0000 5.2999
Ru 1.7059 1.7059 6.1701
```

* E_tot: -4.1640 eV/atom

=====

A relaxed structure of BaSbPb2, computed with PBE-GGA.

Cell and atoms, written as extended XYZ:
```
4
Lattice="4.3984 0.0000 0.0000 0.0000 4.3984 0.0000 0.0000 0.0000 7.2580" Properties=species:S:1:pos:R:3 pbc="T T T"
Ba 0.0000 0.0000 0.0000
Sb 2.1992 2.1992 5.2515
Pb 0.0000 0.0000 3.7816
Pb 2.1992 2.1992 2.2339
```

* formation energy (no corrections): -0.362 eV per atom

=====

A relaxed structure of KGaSn, computed with PBE-GGA.

Cell and atoms, written as extended XYZ:
```
6
Lattice="6.0073 0.0000 0.0000 -3.0036 5.2025 0.0000 0.0000 0.0000 10.3836" Properties=species:S:1:pos:R:3 pbc="T T T"
K 0.0000 3.4683 2.5959
K 3.0036 1.7342 7.7877
Ga 0.0000 0.0000 2.5959
Ga 0.0000 0.0000 7.7877
Sn 0.0000 0.0000 0.0000
Sn 0.0000 0.0000 5.1918
```

* E_tot: -2.4018 eV/atom

=====

A relaxed structure of AcSbPd4Au2, computed with PBE-GGA.

Cell and atoms, written as extended XYZ:
```
8
Lattice="2.4129 1.3931 7.8096 -2.4129 1.3931 7.8096 0.0000 -2.7861 7.8096" Properties=species:S:1:pos:R:3 pbc="T T T"
Ac 0.0000 0.0000 0.0000
Sb 0.0000 0.0000 11.7145
Pd 0.0000 0.0000 3.1891
Pd 0.0000 0.0000 9.1149
Pd 0.0000 0.0000 14.3141
Pd 0.0000 0.0000 20.2399
Au 0.0000 0.0000 6.0485
Au 0.0000 0.0000 17.3804
```

* formation energy (no corrections): -0.475 eV per atom

=====

A relaxed structure of HfAs2Cl, computed with PBE-GGA.

Cell and atoms, written as extended XYZ:
```
8
Lattice="-1.9746 1.9746 10.4512 1.9746 -1.9746 10.4512 1.9746 1.9746 -10.4512" Properties=species:S:1:pos:R:3 pbc="T T T"
Hf 0.0000 0.0000 0.0000
Hf 0.0000 1.9746 5.2256
As 2.9619 0.7712 -2.6128
As 0.7712 0.9873 2.6128
As -0.9873 1.2034 7.8384
As 1.2034 0.9873 13.0640
Cl 1.9746 0.0000 5.2256
Cl 0.0000 0.0000 10.4512
```

* formation energy (no corrections): -0.199 eV per atom
* energy above the lowest structure with this stoichiometry: 0.0 meV per atom

=====

A relaxed structure of La6GeAs3P2, computed with PBE-GGA.

Cell and atoms, written as extended XYZ:
```
12
Lattice="9.4532 -2.1677 0.0000 9.4532 2.1677 0.0000 -1.9557 0.0000 8.5158" Properties=species:S:1:pos:R:3 pbc="T T T"
La -0.4591 0.0000 2.1827
La 5.4391 0.0000 3.5757
La 4.4865 0.0000 7.7450
La 12.4642 0.0000 0.7708
La 11.5117 0.0000 4.9401
La 17.4099 0.0000 6.3331
Ge 9.4532 0.0000 0.0000
As 1.5136 0.0000 7.1004
As 8.4754 0.0000 4.2579
As 15.4372 0.0000 1.4154
P 2.5069 0.0000 2.8581
P 14.4439 0.0000 5.6577
```

* E_tot: -6.3157 eV/atom

=====

A relaxed structure of TlAg3Pd3O8, computed with PBE-GGA.

Cell and atoms, written as extended XYZ:
```
15
Lattice="6.0552 -3.1615 0.0000 6.0552 3.1615 0.0000 -3.0849 0.0000 5.5574" Properties=species:S:1:pos:R:3 pbc="T T T"
Tl 0.0000 0.0000 0.0000
Ag -1.5425 0.0000 2.7787
Ag 1.4851 1.5807 2.7787
Ag 1.4851 -1.5807 2.7787
Pd 3.0276 1.5807 0.0000
Pd 3.0276 -1.5807 0.0000
Pd 6.0552 0.0000 0.0000
O 0.1900 0.0000 4.2081
O 4.8885 1.4021 0.8299
O 2.2339 0.0000 1.1346
O 4.1369 1.4021 4.7276
O 4.8885 -1.4021 0.8299
O 6.7915 0.0000 4.4228
O 4.1369 -1.4021 4.7276
O 8.8353 0.0000 1.3494
```

* formation energy (no corrections): -0.256 eV per atom

=====

A relaxed structure of TaBi2OsPd, computed with PBE-GGA.

Cell and atoms, written as extended XYZ:
```
5
Lattice="5.1881 0.0000 0.0000 0.0000 5.1881 0.0000 0.0000 0.0000 4.8402" Properties=species:S:1:pos:R:3 pbc="T T T"
Ta 0.0000 0.0000 0.0000
Bi 0.0000 2.5941 2.4201
Bi 2.5941 0.0000 2.4201
Os 2.5941 2.5941 2.4201
Pd 2.5941 2.5941 0.0000
```

* E_tot: -5.6513 eV/atom

=====

A relaxed structure of TlRh2C2, computed with PBE-GGA.

Cell and atoms, written as extended XYZ:
```
10
Lattice="7.1420 0.0000 0.0000 0.0000 7.1420 0.0000 0.0000 0.0000 3.1948" Properties=species:S:1:pos:R:3 pbc="T T T"
Tl 0.0000 0.0000 0.0000
Tl 3.5710 3.5710 0.0000
Rh 0.9194 2.6516 0.0000
Rh 2.6516 6.2226 0.0000
Rh 4.4905 0.9194 0.0000
Rh 6.2226 4.4905 0.0000
C 0.4960 4.0670 1.5974
C 3.0750 0.4960 1.5974
C 4.0670 6.6460 1.5974
C 6.6460 3.0750 1.5974
```

* energy above the lowest structure with this stoichiometry: 389.7 meV per atom

=====

A relaxed structure of SiI2N, computed with PBE-GGA.

Cell and atoms, written as extended XYZ:
```
8
Lattice="-3.1267 3.1267 6.0654 3.1267 -3.1267 6.0654 3.1267 3.1267 -6.0654" Properties=species:S:1:pos:R:3 pbc="T T T"
Si 0.0000 0.0000 0.0000
Si 0.0000 3.1267 3.0327
I 1.5633 -0.8079 4.5490
I 2.3188 1.5633 1.5163
I 1.5633 3.9345 -1.5163
I 0.8079 1.5633 7.5817
N 3.1267 0.0000 3.0327
N 0.0000 0.0000 6.0654
```

* formation energy (no corrections): 1.482 eV per atom
* energy above the lowest structure with this stoichiometry: 0.0 meV per atom

=====

| no. | magnetization (μB/cell) |
| --- | --- |
| 1 | 0.000 |
| 2 | 0.000 |
| 3 | 31.889 |
| 4 | 0.000 |
| 5 | 0.000 |
| 6 | 0.000 |
| 7 | 4.585 |
| 8 | 0.000 |
| 9 | 0.000 |
| 10 | 0.000 |
| 11 | 0.000 |
| 12 | 0.000 |
| 13 | 0.000 |
| 14 | 0.000 |
| 15 | 0.000 |
| 16 | 0.000 |
| 17 | 0.000 |
| 18 | 0.000 |
| 19 | 0.000 |
| 20 | 0.000 |